First-principles (GGA-PBE) data for MnTc2SbRh after structural relaxation, as listed in Alexandria.

Crystal system ... tetragonal
Uncorrected formation energy ... 7.8 eV/f.u.
M_tot ... 1.18 μB per formula unit
DOS at the Fermi energy ... 3.51 states/eV/cell

a b c (Å): 4.8718 4.8718 4.7762
angles (deg): 90.00 90.00 90.00
Space group P4/mmm (No. 123)
Inequivalent atoms, fractional coordinates:
Mn 0.0000 0.0000 0.0000
Tc 0.0000 0.5000 0.5000
Sb 0.5000 0.5000 0.5000
Rh 0.5000 0.5000 0.0000